(1)
# BaZnCuF7 | Alexandria | PBE-GGA | optimized geometry
data_BaZnCuF7
_chemical_formula_sum 'Ba4 Zn4 Cu4 F28'
_space_group_name_H-M_alt 'P 1'
_space_group_IT_number 1
_cell_length_a 10.026
_cell_length_b 5.640
_cell_length_c 9.666
_cell_angle_alpha 86.72
_cell_angle_beta 90.00
_cell_angle_gamma 90.00
loop_
_space_group_symop_operation_xyz
'x,y,z'
loop_
_atom_site_label
_atom_site_type_symbol
_atom_site_fract_x
_atom_site_fract_y
_atom_site_fract_z
Ba1 Ba 0.320 0.740 0.500
Ba2 Ba 0.820 0.260 0.000
Ba3 Ba 0.680 0.260 0.500
Ba4 Ba 0.180 0.740 0.000
Zn1 Zn 0.399 0.303 0.811
Zn2 Zn 0.899 0.697 0.689
Zn3 Zn 0.101 0.303 0.311
Zn4 Zn 0.601 0.697 0.189
Cu1 Cu 0.614 0.805 0.813
Cu2 Cu 0.386 0.195 0.187
Cu3 Cu 0.886 0.805 0.313
Cu4 Cu 0.114 0.195 0.687
F1 F 0.443 0.894 0.124
F2 F 0.047 0.638 0.368
F3 F 0.709 0.527 0.752
F4 F 0.291 0.473 0.248
F5 F 0.455 0.112 0.366
F6 F 0.810 0.737 0.498
F7 F 0.777 0.977 0.754
F8 F 0.955 0.888 0.134
F9 F 0.453 0.638 0.868
F10 F 0.209 0.473 0.748
F11 F 0.057 0.894 0.624
F12 F 0.557 0.106 0.876
F13 F 0.277 0.023 0.746
F14 F 0.957 0.616 0.877
F15 F 0.545 0.888 0.634
F16 F 0.045 0.112 0.866
F17 F 0.223 0.023 0.246
F18 F 0.943 0.106 0.376
F19 F 0.457 0.384 0.623
F20 F 0.953 0.362 0.632
F21 F 0.043 0.384 0.123
F22 F 0.723 0.977 0.254
F23 F 0.543 0.616 0.377
F24 F 0.310 0.263 0.002
F25 F 0.190 0.263 0.502
F26 F 0.690 0.737 0.998
F27 F 0.547 0.362 0.132
F28 F 0.791 0.527 0.252
# Volume = 545.7 Å³/cell



(2)
# BaZnCu2F8 | Alexandria | PBE-GGA | optimized geometry
data_BaZnCu2F8
_chemical_formula_sum 'Ba1 Zn1 Cu2 F8'
_space_group_name_H-M_alt 'P 1'
_space_group_IT_number 1
_cell_length_a 5.366
_cell_length_b 5.366
_cell_length_c 7.271
_cell_angle_alpha 90.00
_cell_angle_beta 90.00
_cell_angle_gamma 120.00
loop_
_space_group_symop_operation_xyz
'x,y,z'
loop_
_atom_site_label
_atom_site_type_symbol
_atom_site_fract_x
_atom_site_fract_y
_atom_site_fract_z
Ba1 Ba 0.000 0.000 0.000
Zn1 Zn 0.000 0.000 0.500
Cu1 Cu 0.667 0.333 0.300
Cu2 Cu 0.333 0.667 0.700
F1 F 0.333 0.667 0.959
F2 F 0.290 0.302 0.326
F3 F 0.698 0.988 0.326
F4 F 0.667 0.333 0.041
F5 F 0.302 0.012 0.674
F6 F 0.710 0.698 0.674
F7 F 0.988 0.290 0.674
F8 F 0.012 0.710 0.326
# DOS at the Fermi energy = 13.9 states/eV/f.u.
# Volume = 181.3 Å³/cell



(3)
# BaZnCuF6 | Alexandria | PBE-GGA | optimized geometry
data_BaZnCuF6
_chemical_formula_sum 'Ba2 Zn2 Cu2 F12'
_space_group_name_H-M_alt 'P 1'
_space_group_IT_number 1
_cell_length_a 7.274
_cell_length_b 7.124
_cell_length_c 7.235
_cell_angle_alpha 119.49
_cell_angle_beta 120.18
_cell_angle_gamma 90.00
loop_
_space_group_symop_operation_xyz
'x,y,z'
loop_
_atom_site_label
_atom_site_type_symbol
_atom_site_fract_x
_atom_site_fract_y
_atom_site_fract_z
Ba1 Ba 0.869 0.619 0.738
Ba2 Ba 0.131 0.381 0.262
Zn1 Zn 0.500 0.000 0.500
Zn2 Zn 0.000 0.000 0.500
Cu1 Cu 0.500 0.500 0.000
Cu2 Cu 0.500 0.000 0.000
F1 F 0.423 0.673 0.847
F2 F 0.843 0.093 0.687
F3 F 0.845 0.103 0.255
F4 F 0.410 0.652 0.255
F5 F 0.410 0.103 0.255
F6 F 0.845 0.652 0.255
F7 F 0.577 0.327 0.153
F8 F 0.157 0.907 0.313
F9 F 0.155 0.897 0.745
F10 F 0.590 0.348 0.745
F11 F 0.590 0.897 0.745
F12 F 0.155 0.348 0.745
# DOS at the Fermi energy = 4.5 states/eV/f.u.
# Volume = 266.4 Å³/cell



Number 1: raw formation energy -2.4393 eV per atom. Number 2: raw formation energy -2.1577 eV per atom. Number 3: raw formation energy -2.4458 eV per atom.